The following is a SCAN calculation of a PBEsol-optimized structure of ReRu2, from Alexandria via LeMat-Bulk.

Properties
The formation enthalpy at 0 K comes out at 1.3 eV per formula unit. The calculation puts the total energy at -3.4174 Ry/atom.

Cell: 3.1946 3.1946 8.2891 Å, 90.00 90.00 90.00°
Last column: nearest neighbours and their distance in Å.
Space group I4/mmm (No. 139)
Unique sites:
1 Re 0.0000 0.0000 0.0000  10 Ru 2.63-2.79
2 Ru 0.0000 0.0000 0.3370  5 Re 2.63-2.79, 5 Ru 2.68-2.70